Entry 1:
YHgB4 (GGA-PBE, optimized geometry); raw total energy = -5.35 eV per atom; excess energy over the best structure of this formula in the dataset = 220 meV/atom; mass density = 7.75 g/cm3
1.0
-1.134 3.009 -0.306
0.791 -1.703 -2.628
-7.363 -2.815 -0.390
B Hg Y
4 1 1
direct
0.667 0.333 0.260 B
0.333 0.667 0.260 B
0.667 0.333 0.740 B
0.333 0.667 0.740 B
0.000 0.000 0.000 Hg
0.000 0.000 0.500 Y

=====

Entry 2:
ZnHg2B (GGA-PBE, optimized geometry); raw total energy = -1.08 eV per atom; mass density = 10.60 g/cm3
1.0
0.000 3.344 3.344
3.344 0.000 3.344
3.344 3.344 0.000
B Hg Zn
1 2 1
direct
0.500 0.500 0.500 B
0.000 0.000 0.000 Hg
0.750 0.750 0.750 Hg
0.250 0.250 0.250 Zn

=====

Entry 3:
ZnHgB4 (GGA-PBE, optimized geometry); raw total energy = -4.21 eV per atom; excess energy over the best structure of this formula in the dataset = 0 meV/atom; mass density = 7.11 g/cm3
1.0
3.013 0.000 0.000
-1.507 2.609 0.000
0.000 0.000 9.190
B Hg Zn
4 1 1
direct
0.667 0.333 0.181 B
0.333 0.667 0.181 B
0.667 0.333 0.819 B
0.333 0.667 0.819 B
0.000 0.000 0.500 Hg
0.000 0.000 0.000 Zn

=====

Entry 4:
Zn2HgB (GGA-PBE, optimized geometry); raw total energy = -1.44 eV per atom; mass density = 8.94 g/cm3
1.0
0.000 3.168 3.168
3.168 0.000 3.168
3.168 3.168 0.000
B Hg Zn
1 1 2
direct
0.500 0.500 0.500 B
0.250 0.250 0.250 Hg
0.000 0.000 0.000 Zn
0.750 0.750 0.750 Zn

=====

Question: Among the records above, which one has the lowest raw total energy?
Answer: YHgB4

=====

Question: The highest raw total energy belongs to which entry?
Answer: ZnHg2B